Record 1
The following is a PBE calculation of a relaxed structure of NiRhW2N, from the Alexandria database.

Unit cell a=4.072 b=4.072 c=3.882 alpha=90.00 beta=90.00 gamma=90.00
Element x y z (fractional)
Ni  0.000  0.000  0.000
Rh  0.500  0.500  0.000
W  0.000  0.500  0.500
W  0.500  0.000  0.500
N  0.000  0.000  0.500

Record 2
The following is a PBE calculation of a relaxed structure of CoTe2IrN, from the Alexandria database.

## Properties
- Energy above the lowest structure with this stoichiometry: 209 meV/atom

Unit cell a=5.477 b=5.477 c=3.625 alpha=90.00 beta=90.00 gamma=90.00
Element x y z (fractional)
Co  0.000  0.000  0.000
Te  0.000  0.500  0.500
Te  0.500  0.000  0.500
Ir  0.500  0.500  0.500
N  0.500  0.500  0.000

Number 1: total magnetic moment 0.0 μB/f.u., Fermi-level density of states 0.9579 states/eV/atom, uncorrected formation energy -0.90 kcal/mol of atoms. Number 2: total magnetic moment 2.0 μB/f.u., Fermi-level density of states 1.2580 states/eV/atom, uncorrected formation energy 16.48 kcal/mol of atoms.